# NbCoSb | OQMD | PBE | relaxed
# Uncorrected energy in eV per cell: -20.15
data_NbCoSb
_cell_length_a 4.418
_cell_length_b 4.418
_cell_length_c 4.418
_cell_angle_alpha 60.00
_cell_angle_beta 60.00
_cell_angle_gamma 60.00
_space_group_name_H-M_alt 'P 1'
_space_group_IT_number 1
_space_group_name_Hall 'P 1'
loop_
_atom_site_label
_atom_site_type_symbol
_atom_site_fract_x
_atom_site_fract_y
_atom_site_fract_z
_atom_site_occupancy
Nb1 Nb 0.000 0.000 0.000 1
Co1 Co 0.750 0.750 0.750 1
Sb1 Sb 0.250 0.250 0.250 1

***

# NaNi3N5 | OQMD | PBE | relaxed
# Uncorrected energy in eV per cell: -54.98
data_NaNi3N5
_cell_length_a 4.933
_cell_length_b 4.933
_cell_length_c 4.031
_cell_angle_alpha 90.00
_cell_angle_beta 90.00
_cell_angle_gamma 120.00
_space_group_name_H-M_alt 'P 1'
_space_group_IT_number 1
_space_group_name_Hall 'P 1'
loop_
_atom_site_label
_atom_site_type_symbol
_atom_site_fract_x
_atom_site_fract_y
_atom_site_fract_z
_atom_site_occupancy
Na1 Na 0.000 0.000 0.000 1
Ni1 Ni 0.000 0.500 0.500 1
Ni2 Ni 0.500 0.000 0.500 1
Ni3 Ni 0.500 0.500 0.500 1
N1 N 0.000 0.000 0.500 1
N2 N 0.333 0.667 0.155 1
N3 N 0.333 0.667 0.845 1
N4 N 0.667 0.333 0.155 1
N5 N 0.667 0.333 0.845 1

***

# GaCo2Se2S | OQMD | PBE | relaxed
# Uncorrected energy in eV per cell: -59.82
data_GaCo2Se2S
_cell_length_a 6.626
_cell_length_b 6.626
_cell_length_c 6.574
_cell_angle_alpha 100.00
_cell_angle_beta 100.00
_cell_angle_gamma 119.41
_space_group_name_H-M_alt 'P 1'
_space_group_IT_number 1
_space_group_name_Hall 'P 1'
loop_
_atom_site_label
_atom_site_type_symbol
_atom_site_fract_x
_atom_site_fract_y
_atom_site_fract_z
_atom_site_occupancy
Ga1 Ga 0.087 0.913 0.500 1
Ga2 Ga 0.913 0.087 0.000 1
Co1 Co 0.246 0.717 0.995 1
Co2 Co 0.396 0.542 0.475 1
Co3 Co 0.542 0.396 0.975 1
Co4 Co 0.717 0.246 0.495 1
Se1 Se 0.115 0.590 0.616 1
Se2 Se 0.590 0.115 0.116 1
Se3 Se 0.754 0.938 0.599 1
Se4 Se 0.938 0.754 0.099 1
S1 S 0.292 0.453 0.120 1
S2 S 0.453 0.292 0.620 1

***

# Ba2NiSb2Pd | OQMD | PBE | relaxed
# Uncorrected energy in eV per cell: -27.35
data_Ba2NiSb2Pd
_cell_length_a 4.538
_cell_length_b 4.538
_cell_length_c 10.022
_cell_angle_alpha 90.00
_cell_angle_beta 90.00
_cell_angle_gamma 120.00
_space_group_name_H-M_alt 'P 1'
_space_group_IT_number 1
_space_group_name_Hall 'P 1'
loop_
_atom_site_label
_atom_site_type_symbol
_atom_site_fract_x
_atom_site_fract_y
_atom_site_fract_z
_atom_site_occupancy
Ba1 Ba 0.000 0.000 0.250 1
Ba2 Ba 0.000 0.000 0.750 1
Ni1 Ni 0.667 0.333 0.000 1
Sb1 Sb 0.333 0.667 0.000 1
Sb2 Sb 0.667 0.333 0.500 1
Pd1 Pd 0.333 0.667 0.500 1

***

# Tc2Se3S | OQMD | PBE | relaxed
# Distance to the lowest polymorph of the same formula in meV/atom: 153
# Uncorrected energy in eV per cell: -37.75
data_Tc2Se3S
_cell_length_a 6.122
_cell_length_b 3.124
_cell_length_c 11.478
_cell_angle_alpha 90.00
_cell_angle_beta 105.44
_cell_angle_gamma 90.00
_space_group_name_H-M_alt 'P 1'
_space_group_IT_number 1
_space_group_name_Hall 'P 1'
loop_
_atom_site_label
_atom_site_type_symbol
_atom_site_fract_x
_atom_site_fract_y
_atom_site_fract_z
_atom_site_occupancy
Tc1 Tc 0.000 0.000 0.000 1
Tc2 Tc 0.427 0.500 0.000 1
Se1 Se 0.211 0.000 0.842 1
Se2 Se 0.711 0.500 0.868 1
Se3 Se 0.844 0.500 0.133 1
S1 S 0.360 0.000 0.140 1

***

# Gd2LuIn3AgPt2 | OQMD | PBE | relaxed
# Uncorrected energy in eV per cell: -44.32
data_Gd2LuIn3AgPt2
_cell_length_a 3.773
_cell_length_b 7.815
_cell_length_c 7.815
_cell_angle_alpha 119.82
_cell_angle_beta 90.00
_cell_angle_gamma 90.00
_space_group_name_H-M_alt 'P 1'
_space_group_IT_number 1
_space_group_name_Hall 'P 1'
loop_
_atom_site_label
_atom_site_type_symbol
_atom_site_fract_x
_atom_site_fract_y
_atom_site_fract_z
_atom_site_occupancy
Gd1 Gd 0.000 0.205 0.795 1
Gd2 Gd 0.000 0.795 0.205 1
Lu1 Lu 0.000 0.615 0.615 1
In1 In 0.500 0.207 0.474 1
In2 In 0.500 0.474 0.207 1
In3 In 0.500 0.936 0.936 1
Ag1 Ag 0.000 0.207 0.207 1
Pt1 Pt 0.500 0.540 0.866 1
Pt2 Pt 0.500 0.866 0.540 1

***

# LuMgReTe | OQMD | PBE | relaxed
# Distance to the lowest polymorph of the same formula in meV/atom: 71
# Uncorrected energy in eV per cell: -20.41
data_LuMgReTe
_cell_length_a 4.897
_cell_length_b 4.897
_cell_length_c 4.897
_cell_angle_alpha 60.00
_cell_angle_beta 60.00
_cell_angle_gamma 60.00
_space_group_name_H-M_alt 'P 1'
_space_group_IT_number 1
_space_group_name_Hall 'P 1'
loop_
_atom_site_label
_atom_site_type_symbol
_atom_site_fract_x
_atom_site_fract_y
_atom_site_fract_z
_atom_site_occupancy
Lu1 Lu 0.000 0.000 0.000 1
Mg1 Mg 0.500 0.500 0.500 1
Re1 Re 0.750 0.750 0.750 1
Te1 Te 0.250 0.250 0.250 1

***

# Gd3Ni2Sn3Pt | OQMD | PBE | relaxed
# Uncorrected energy in eV per cell: -50.22
data_Gd3Ni2Sn3Pt
_cell_length_a 7.355
_cell_length_b 7.355
_cell_length_c 4.060
_cell_angle_alpha 90.00
_cell_angle_beta 90.00
_cell_angle_gamma 120.00
_space_group_name_H-M_alt 'P 1'
_space_group_IT_number 1
_space_group_name_Hall 'P 1'
loop_
_atom_site_label
_atom_site_type_symbol
_atom_site_fract_x
_atom_site_fract_y
_atom_site_fract_z
_atom_site_occupancy
Gd1 Gd 0.000 0.410 0.000 1
Gd2 Gd 0.410 0.000 0.000 1
Gd3 Gd 0.590 0.590 0.000 1
Ni1 Ni 0.333 0.667 0.500 1
Ni2 Ni 0.667 0.333 0.500 1
Sn1 Sn 0.000 0.736 0.500 1
Sn2 Sn 0.264 0.264 0.500 1
Sn3 Sn 0.736 0.000 0.500 1
Pt1 Pt 0.000 0.000 0.000 1

***

# Cu31Te3 | OQMD | PBE | relaxed
# Distance to the lowest polymorph of the same formula in meV/atom: 11
# Uncorrected energy in eV per cell: -247.09
data_Cu31Te3
_cell_length_a 6.799
_cell_length_b 8.720
_cell_length_c 15.915
_cell_angle_alpha 99.09
_cell_angle_beta 92.62
_cell_angle_gamma 90.89
_space_group_name_H-M_alt 'P 1'
_space_group_IT_number 1
_space_group_name_Hall 'P 1'
loop_
_atom_site_label
_atom_site_type_symbol
_atom_site_fract_x
_atom_site_fract_y
_atom_site_fract_z
_atom_site_occupancy
Cu1 Cu 0.016 0.149 0.287 1
Cu2 Cu 0.017 0.650 0.285 1
Cu3 Cu 0.048 0.580 0.639 1
Cu4 Cu 0.049 0.080 0.638 1
Cu5 Cu 0.079 0.380 0.213 1
Cu6 Cu 0.081 0.880 0.211 1
Cu7 Cu 0.112 0.309 0.563 1
Cu8 Cu 0.113 0.809 0.562 1
Cu9 Cu 0.133 0.223 0.913 1
Cu10 Cu 0.136 0.103 0.132 1
Cu11 Cu 0.136 0.600 0.129 1
Cu12 Cu 0.177 0.538 0.487 1
Cu13 Cu 0.178 0.038 0.487 1
Cu14 Cu 0.205 0.960 0.840 1
Cu15 Cu 0.209 0.467 0.841 1
Cu16 Cu 0.243 0.266 0.411 1
Cu17 Cu 0.243 0.766 0.411 1
Cu18 Cu 0.271 0.196 0.766 1
Cu19 Cu 0.276 0.696 0.762 1
Cu20 Cu 0.308 0.994 0.336 1
Cu21 Cu 0.309 0.496 0.336 1
Cu22 Cu 0.337 0.426 0.689 1
Cu23 Cu 0.339 0.927 0.688 1
Cu24 Cu 0.369 0.223 0.261 1
Cu25 Cu 0.370 0.722 0.258 1
Cu26 Cu 0.402 0.157 0.615 1
Cu27 Cu 0.402 0.656 0.612 1
Cu28 Cu 0.433 0.947 0.182 1
Cu29 Cu 0.434 0.449 0.183 1
Cu30 Cu 0.467 0.386 0.538 1
Cu31 Cu 0.468 0.885 0.537 1
Cu32 Cu 0.532 0.115 0.463 1
Cu33 Cu 0.533 0.614 0.462 1
Cu34 Cu 0.566 0.551 0.817 1
Cu35 Cu 0.567 0.053 0.818 1
Cu36 Cu 0.598 0.344 0.388 1
Cu37 Cu 0.598 0.843 0.385 1
Cu38 Cu 0.630 0.278 0.742 1
Cu39 Cu 0.631 0.777 0.739 1
Cu40 Cu 0.661 0.073 0.312 1
Cu41 Cu 0.663 0.574 0.311 1
Cu42 Cu 0.691 0.504 0.664 1
Cu43 Cu 0.692 0.006 0.664 1
Cu44 Cu 0.724 0.304 0.238 1
Cu45 Cu 0.729 0.804 0.234 1
Cu46 Cu 0.757 0.234 0.589 1
Cu47 Cu 0.757 0.734 0.589 1
Cu48 Cu 0.791 0.533 0.159 1
Cu49 Cu 0.795 0.040 0.160 1
Cu50 Cu 0.822 0.962 0.513 1
Cu51 Cu 0.823 0.462 0.513 1
Cu52 Cu 0.864 0.400 0.871 1
Cu53 Cu 0.864 0.897 0.868 1
Cu54 Cu 0.867 0.777 0.087 1
Cu55 Cu 0.887 0.191 0.438 1
Cu56 Cu 0.888 0.691 0.437 1
Cu57 Cu 0.919 0.120 0.789 1
Cu58 Cu 0.921 0.620 0.787 1
Cu59 Cu 0.951 0.920 0.362 1
Cu60 Cu 0.952 0.420 0.361 1
Cu61 Cu 0.983 0.350 0.715 1
Cu62 Cu 0.984 0.851 0.713 1
Te1 Te 0.037 0.688 0.951 1
Te2 Te 0.493 0.168 0.093 1
Te3 Te 0.494 0.670 0.088 1
Te4 Te 0.506 0.330 0.912 1
Te5 Te 0.507 0.832 0.907 1
Te6 Te 0.963 0.312 0.049 1

***

# LiScTeOs | OQMD | PBE | relaxed
# Distance to the lowest polymorph of the same formula in meV/atom: 266
# Uncorrected energy in eV per cell: -22.88
data_LiScTeOs
_cell_length_a 4.626
_cell_length_b 4.626
_cell_length_c 4.626
_cell_angle_alpha 60.00
_cell_angle_beta 60.00
_cell_angle_gamma 60.00
_space_group_name_H-M_alt 'P 1'
_space_group_IT_number 1
_space_group_name_Hall 'P 1'
loop_
_atom_site_label
_atom_site_type_symbol
_atom_site_fract_x
_atom_site_fract_y
_atom_site_fract_z
_atom_site_occupancy
Li1 Li 0.000 0.000 0.000 1
Sc1 Sc 0.500 0.500 0.500 1
Te1 Te 0.250 0.250 0.250 1
Os1 Os 0.750 0.750 0.750 1

***

# LuInCuMo | OQMD | PBE | relaxed
# Distance to the lowest polymorph of the same formula in meV/atom: 0
# Uncorrected energy in eV per cell: -20.66
data_LuInCuMo
_cell_length_a 4.749
_cell_length_b 4.749
_cell_length_c 4.749
_cell_angle_alpha 60.00
_cell_angle_beta 60.00
_cell_angle_gamma 60.00
_space_group_name_H-M_alt 'P 1'
_space_group_IT_number 1
_space_group_name_Hall 'P 1'
loop_
_atom_site_label
_atom_site_type_symbol
_atom_site_fract_x
_atom_site_fract_y
_atom_site_fract_z
_atom_site_occupancy
Lu1 Lu 0.000 0.000 0.000 1
In1 In 0.500 0.500 0.500 1
Cu1 Cu 0.750 0.750 0.750 1
Mo1 Mo 0.250 0.250 0.250 1

***

# YTmCo2Ge2C | OQMD | PBE | relaxed
# Uncorrected energy in eV per cell: -47.95
data_YTmCo2Ge2C
_cell_length_a 5.680
_cell_length_b 5.680
_cell_length_c 6.774
_cell_angle_alpha 125.45
_cell_angle_beta 125.45
_cell_angle_gamma 40.12
_space_group_name_H-M_alt 'P 1'
_space_group_IT_number 1
_space_group_name_Hall 'P 1'
loop_
_atom_site_label
_atom_site_type_symbol
_atom_site_fract_x
_atom_site_fract_y
_atom_site_fract_z
_atom_site_occupancy
Y1 Y 0.000 0.000 0.000 1
Tm1 Tm 0.118 0.118 0.584 1
Co1 Co 0.368 0.368 0.211 1
Co2 Co 0.753 0.753 0.378 1
Ge1 Ge 0.398 0.398 0.593 1
Ge2 Ge 0.720 0.720 0.992 1
C1 C 0.562 0.562 0.299 1